VASP calculation (PBE) on crystalline LuReTc at its relaxed geometry.

a = 6.255 Å, b = 6.255 Å, c = 6.255 Å
α = 90.00°, β = 90.00°, γ = 90.00°
Space group F-43m (No. 216)
Inequivalent atoms, fractional coordinates:
Lu 0.000 0.000 0.000 x4
Re 0.250 0.250 0.750 x4
Tc 0.250 0.250 0.250 x4

- Energy relative to the elements: 1.6295 eV per atom
- Spin magnetization: 7.03 Bohr magnetons per cell
- Polymorph energy (0 for the lowest one): 3.735 eV/f.u.

---

VASP calculation (PBE) on crystalline LuReTc2 at its relaxed geometry.

a = 6.386 Å, b = 6.386 Å, c = 6.386 Å
α = 90.00°, β = 90.00°, γ = 90.00°
Space group F-43m (No. 216)
Inequivalent atoms, fractional coordinates:
Lu 0.000 0.000 0.000 x4
Re 0.250 0.250 0.750 x4
Tc 0.000 0.000 0.500 x4
Tc 0.250 0.250 0.250 x4

- Energy relative to the elements: 0.1296 eV per atom
- Spin magnetization: 0.01 Bohr magnetons per cell

---

VASP calculation (PBE) on crystalline Lu2ReTc at its relaxed geometry.

a = 6.681 Å, b = 6.681 Å, c = 6.681 Å
α = 90.00°, β = 90.00°, γ = 90.00°
Space group F-43m (No. 216)
Inequivalent atoms, fractional coordinates:
Lu 0.000 0.000 0.000 x4
Lu 0.250 0.250 0.250 x4
Re 0.250 0.250 0.750 x4
Tc 0.000 0.000 0.500 x4

- Energy relative to the elements: 0.2227 eV per atom
- Spin magnetization: 0.04 Bohr magnetons per cell

---

VASP calculation (PBE) on crystalline LuRe2Tc at its relaxed geometry.

a = 6.387 Å, b = 6.387 Å, c = 6.387 Å
α = 90.00°, β = 90.00°, γ = 90.00°
Space group F-43m (No. 216)
Inequivalent atoms, fractional coordinates:
Lu 0.000 0.000 0.000 x4
Re 0.000 0.000 0.500 x4
Re 0.250 0.250 0.250 x4
Tc 0.250 0.250 0.750 x4

- Energy relative to the elements: 0.0541 eV per atom
- Spin magnetization: 0.04 Bohr magnetons per cell

---

VASP calculation (PBE) on crystalline LuReTc at its relaxed geometry.

a = 6.205 Å, b = 6.205 Å, c = 6.205 Å
α = 90.00°, β = 90.00°, γ = 90.00°
Space group F-43m (No. 216)
Inequivalent atoms, fractional coordinates:
Lu 0.000 0.000 0.000 x4
Re 0.000 0.000 0.500 x4
Tc 0.250 0.250 0.250 x4

- Energy relative to the elements: 0.3845 eV per atom
- Spin magnetization: 0.01 Bohr magnetons per cell
- Polymorph energy (0 for the lowest one): 0.000 eV/f.u.

---

VASP calculation (PBE) on crystalline LuThRe at its relaxed geometry.

a = 6.840 Å, b = 6.840 Å, c = 6.840 Å
α = 90.00°, β = 90.00°, γ = 90.00°
Space group F-43m (No. 216)
Inequivalent atoms, fractional coordinates:
Lu 0.000 0.000 0.000 x4
Th 0.000 0.000 0.500 x4
Re 0.250 0.250 0.750 x4

- Energy relative to the elements: 0.0686 eV per atom
- Spin magnetization: 0.04 Bohr magnetons per cell
- Polymorph energy (0 for the lowest one): 0.000 eV/f.u.

---

VASP calculation (PBE) on crystalline LuTlRe at its relaxed geometry.

a = 6.656 Å, b = 6.656 Å, c = 6.656 Å
α = 90.00°, β = 90.00°, γ = 90.00°
Space group F-43m (No. 216)
Inequivalent atoms, fractional coordinates:
Lu 0.000 0.000 0.000 x4
Tl 0.000 0.000 0.500 x4
Re 0.250 0.250 0.250 x4

- Spin magnetization: 3.21 Bohr magnetons per cell
- Polymorph energy (0 for the lowest one): 0.000 eV/f.u.

---

VASP calculation (PBE) on crystalline LuTl2Re at its relaxed geometry.

a = 7.062 Å, b = 7.062 Å, c = 7.062 Å
α = 90.00°, β = 90.00°, γ = 90.00°
Space group F-43m (No. 216)
Inequivalent atoms, fractional coordinates:
Lu 0.000 0.000 0.000 x4
Tl 0.000 0.000 0.500 x4
Tl 0.250 0.250 0.250 x4
Re 0.250 0.250 0.750 x4

- Total DFT energy (no corrections): -4.695 eV per atom
- Spin magnetization: 2.23 Bohr magnetons per cell

---

VASP calculation (PBE) on crystalline Lu2TlRe at its relaxed geometry.

a = 6.964 Å, b = 6.964 Å, c = 6.964 Å
α = 90.00°, β = 90.00°, γ = 90.00°
Space group F-43m (No. 216)
Inequivalent atoms, fractional coordinates:
Lu 0.000 0.000 0.000 x4
Lu 0.250 0.250 0.250 x4
Tl 0.000 0.000 0.500 x4
Re 0.250 0.250 0.750 x4

- Total DFT energy (no corrections): -5.618 eV per atom
- Spin magnetization: 1.36 Bohr magnetons per cell

---

VASP calculation (PBE) on crystalline LuTlRe2 at its relaxed geometry.

a = 6.661 Å, b = 6.661 Å, c = 6.661 Å
α = 90.00°, β = 90.00°, γ = 90.00°
Space group F-43m (No. 216)
Inequivalent atoms, fractional coordinates:
Lu 0.000 0.000 0.000 x4
Tl 0.250 0.250 0.750 x4
Re 0.000 0.000 0.500 x4
Re 0.250 0.250 0.250 x4

- Total DFT energy (no corrections): -7.332 eV per atom
- Spin magnetization: 0.30 Bohr magnetons per cell

---

VASP calculation (PBE) on crystalline LuReW at its relaxed geometry.

a = 6.312 Å, b = 6.312 Å, c = 6.312 Å
α = 90.00°, β = 90.00°, γ = 90.00°
Space group F-43m (No. 216)
Inequivalent atoms, fractional coordinates:
Lu 0.000 0.000 0.000 x4
Re 0.250 0.250 0.750 x4
W 0.250 0.250 0.250 x4

- Energy relative to the elements: 1.9350 eV per atom
- Spin magnetization: 1.96 Bohr magnetons per cell
- Polymorph energy (0 for the lowest one): 4.250 eV/f.u.

---

VASP calculation (PBE) on crystalline LuRe2W at its relaxed geometry.

a = 6.431 Å, b = 6.431 Å, c = 6.431 Å
α = 90.00°, β = 90.00°, γ = 90.00°
Space group F-43m (No. 216)
Inequivalent atoms, fractional coordinates:
Lu 0.000 0.000 0.000 x4
Re 0.000 0.000 0.500 x4
Re 0.250 0.250 0.250 x4
W 0.250 0.250 0.750 x4

- Energy relative to the elements: 0.2027 eV per atom
- Spin magnetization: 0.02 Bohr magnetons per cell

---

Question: Among the records above, which one has the highest spin magnetization?
Answer: number 1